1.
# SbAs2Ru PBE relaxed
# Symmetry: No. 65
data_SbAs2Ru
_chemical_formula_sum 'Sb1 As2 Ru1'
_cell_length_a 4.793
_cell_length_b 4.793
_cell_length_c 3.372
_cell_angle_alpha 90.00
_cell_angle_beta 90.00
_cell_angle_gamma 105.18
_space_group_name_H-M_alt 'P 1'
_space_group_IT_number 1
loop_
_space_group_symop_operation_xyz
'x,y,z'
loop_
_atom_site_label
_atom_site_fract_x
_atom_site_fract_y
_atom_site_fract_z
As1 0.500 0.500 0.000
Ru1 0.500 0.000 0.500
Sb1 0.000 0.500 0.500
As2 0.000 0.000 0.000


2.
# SbAsRu2 PBE relaxed
# Symmetry: No. 65
# Polymorph energy (0 for the lowest one): 0.150 eV/atom
data_SbAsRu2
_chemical_formula_sum 'Sb1 As1 Ru2'
_cell_length_a 4.546
_cell_length_b 6.968
_cell_length_c 3.133
_cell_angle_alpha 63.38
_cell_angle_beta 89.93
_cell_angle_gamma 127.73
_space_group_name_H-M_alt 'P 1'
_space_group_IT_number 1
loop_
_space_group_symop_operation_xyz
'x,y,z'
loop_
_atom_site_label
_atom_site_fract_x
_atom_site_fract_y
_atom_site_fract_z
Ru1 0.000 0.000 0.000
Ru2 0.000 0.500 0.500
Sb1 0.500 0.500 0.000
As1 0.500 0.000 0.500


3.
# SbAsRu2 PBE relaxed
# Symmetry: No. 160
# Polymorph energy (0 for the lowest one): 0.265 eV/atom
data_SbAsRu2
_chemical_formula_sum 'Sb1 As1 Ru2'
_cell_length_a 10.201
_cell_length_b 10.201
_cell_length_c 10.201
_cell_angle_alpha 17.19
_cell_angle_beta 17.19
_cell_angle_gamma 17.19
_space_group_name_H-M_alt 'P 1'
_space_group_IT_number 1
loop_
_space_group_symop_operation_xyz
'x,y,z'
loop_
_atom_site_label
_atom_site_fract_x
_atom_site_fract_y
_atom_site_fract_z
Sb1 0.524 0.524 0.524
Ru1 0.997 0.997 0.997
As1 0.721 0.721 0.721
Ru2 0.257 0.257 0.257


4.
# SbAsRu PBE relaxed
# Symmetry: No. 14
# Polymorph energy (0 for the lowest one): 0.000 eV/atom
data_SbAsRu
_chemical_formula_sum 'Sb4 As4 Ru4'
_cell_length_a 6.498
_cell_length_b 6.555
_cell_length_c 6.553
_cell_angle_alpha 123.30
_cell_angle_beta 90.00
_cell_angle_gamma 90.00
_space_group_name_H-M_alt 'P 1'
_space_group_IT_number 1
loop_
_space_group_symop_operation_xyz
'x,y,z'
loop_
_atom_site_label
_atom_site_fract_x
_atom_site_fract_y
_atom_site_fract_z
Sb1 0.365 0.335 0.169
As1 0.358 0.843 0.654
Sb2 0.865 0.665 0.331
Ru1 0.007 0.763 0.754
As2 0.642 0.157 0.346
Sb3 0.135 0.335 0.669
Ru2 0.507 0.237 0.746
Sb4 0.635 0.665 0.831
Ru3 0.493 0.763 0.254
Ru4 0.993 0.237 0.246
As3 0.858 0.157 0.846
As4 0.142 0.843 0.154


5.
# SbAsRu2 PBE relaxed
# Symmetry: No. 122
# Polymorph energy (0 for the lowest one): 0.319 eV/atom
data_SbAsRu2
_chemical_formula_sum 'Sb2 As2 Ru4'
_cell_length_a 5.675
_cell_length_b 5.675
_cell_length_c 6.927
_cell_angle_alpha 65.82
_cell_angle_beta 65.82
_cell_angle_gamma 90.00
_space_group_name_H-M_alt 'P 1'
_space_group_IT_number 1
loop_
_space_group_symop_operation_xyz
'x,y,z'
loop_
_atom_site_label
_atom_site_fract_x
_atom_site_fract_y
_atom_site_fract_z
Ru1 0.156 0.625 0.250
Ru2 0.375 0.406 0.750
As1 0.250 0.750 0.500
Sb1 0.000 0.000 0.000
As2 0.500 0.500 0.000
Sb2 0.750 0.250 0.500
Ru3 0.875 0.844 0.750
Ru4 0.594 0.125 0.250


6.
# SbAs2Ru PBE relaxed
# Symmetry: No. 123
data_SbAs2Ru
_chemical_formula_sum 'Sb1 As2 Ru1'
_cell_length_a 3.023
_cell_length_b 3.023
_cell_length_c 8.689
_cell_angle_alpha 90.00
_cell_angle_beta 90.00
_cell_angle_gamma 90.00
_space_group_name_H-M_alt 'P 1'
_space_group_IT_number 1
loop_
_space_group_symop_operation_xyz
'x,y,z'
loop_
_atom_site_label
_atom_site_fract_x
_atom_site_fract_y
_atom_site_fract_z
As1 0.000 0.000 0.070
Ru1 0.500 0.500 0.250
As2 0.000 0.000 0.430
Sb1 0.500 0.500 0.750


7.
# SbAsRu PBE relaxed
# Symmetry: No. 107
# Polymorph energy (0 for the lowest one): 0.267 eV/atom
data_SbAsRu
_chemical_formula_sum 'Sb1 As1 Ru1'
_cell_length_a 6.615
_cell_length_b 6.615
_cell_length_c 3.078
_cell_angle_alpha 76.55
_cell_angle_beta 76.55
_cell_angle_gamma 26.91
_space_group_name_H-M_alt 'P 1'
_space_group_IT_number 1
loop_
_space_group_symop_operation_xyz
'x,y,z'
loop_
_atom_site_label
_atom_site_fract_x
_atom_site_fract_y
_atom_site_fract_z
Sb1 0.695 0.695 0.305
Ru1 0.346 0.346 0.654
As1 0.960 0.960 0.040


8.
# SbAsRu PBE relaxed
# Symmetry: No. 156
# Polymorph energy (0 for the lowest one): 0.327 eV/atom
data_SbAsRu
_chemical_formula_sum 'Sb1 As1 Ru1'
_cell_length_a 3.414
_cell_length_b 3.414
_cell_length_c 5.846
_cell_angle_alpha 90.00
_cell_angle_beta 90.00
_cell_angle_gamma 120.00
_space_group_name_H-M_alt 'P 1'
_space_group_IT_number 1
loop_
_space_group_symop_operation_xyz
'x,y,z'
loop_
_atom_site_label
_atom_site_fract_x
_atom_site_fract_y
_atom_site_fract_z
Sb1 0.333 0.667 0.636
As1 0.000 0.000 0.052
Ru1 0.667 0.333 0.312


9.
# SbAsRu PBE relaxed
# Symmetry: No. 187
# Polymorph energy (0 for the lowest one): 0.542 eV/atom
data_SbAsRu
_chemical_formula_sum 'Sb1 As1 Ru1'
_cell_length_a 4.433
_cell_length_b 4.433
_cell_length_c 3.312
_cell_angle_alpha 90.00
_cell_angle_beta 90.00
_cell_angle_gamma 120.00
_space_group_name_H-M_alt 'P 1'
_space_group_IT_number 1
loop_
_space_group_symop_operation_xyz
'x,y,z'
loop_
_atom_site_label
_atom_site_fract_x
_atom_site_fract_y
_atom_site_fract_z
Sb1 0.667 0.333 0.666
As1 0.000 0.000 0.167
Ru1 0.333 0.667 0.167


10.
# SbAs2Ru PBE relaxed
# Symmetry: No. 12
data_SbAs2Ru
_chemical_formula_sum 'Sb1 As2 Ru1'
_cell_length_a 3.936
_cell_length_b 3.936
_cell_length_c 8.621
_cell_angle_alpha 105.51
_cell_angle_beta 105.51
_cell_angle_gamma 45.21
_space_group_name_H-M_alt 'P 1'
_space_group_IT_number 1
loop_
_space_group_symop_operation_xyz
'x,y,z'
loop_
_atom_site_label
_atom_site_fract_x
_atom_site_fract_y
_atom_site_fract_z
Ru1 0.750 0.750 0.750
As1 0.402 0.402 0.593
As2 0.098 0.098 0.907
Sb1 0.250 0.250 0.250


11.
# SbAs2Ru2 PBE relaxed
# Symmetry: No. 139
data_SbAs2Ru2
_chemical_formula_sum 'Sb1 As2 Ru2'
_cell_length_a 3.918
_cell_length_b 3.918
_cell_length_c 6.600
_cell_angle_alpha 72.73
_cell_angle_beta 72.73
_cell_angle_gamma 90.00
_space_group_name_H-M_alt 'P 1'
_space_group_IT_number 1
loop_
_space_group_symop_operation_xyz
'x,y,z'
loop_
_atom_site_label
_atom_site_fract_x
_atom_site_fract_y
_atom_site_fract_z
Sb1 0.000 0.000 0.000
As1 0.750 0.250 0.500
As2 0.250 0.750 0.500
Ru1 0.377 0.377 0.247
Ru2 0.623 0.623 0.753


12.
# SbAsRu2 PBE relaxed
# Symmetry: No. 166
# Polymorph energy (0 for the lowest one): 0.117 eV/atom
data_SbAsRu2
_chemical_formula_sum 'Sb1 As1 Ru2'
_cell_length_a 8.023
_cell_length_b 8.023
_cell_length_c 8.023
_cell_angle_alpha 22.47
_cell_angle_beta 22.47
_cell_angle_gamma 22.47
_space_group_name_H-M_alt 'P 1'
_space_group_IT_number 1
loop_
_space_group_symop_operation_xyz
'x,y,z'
loop_
_atom_site_label
_atom_site_fract_x
_atom_site_fract_y
_atom_site_fract_z
Ru1 0.006 0.006 0.006
Ru2 0.494 0.494 0.494
As1 0.750 0.750 0.750
Sb1 0.250 0.250 0.250


13.
# SbAsRu2 PBE relaxed
# Symmetry: No. 225
# Polymorph energy (0 for the lowest one): 0.142 eV/atom
data_SbAsRu2
_chemical_formula_sum 'Sb1 As1 Ru2'
_cell_length_a 4.508
_cell_length_b 4.508
_cell_length_c 4.508
_cell_angle_alpha 60.00
_cell_angle_beta 60.00
_cell_angle_gamma 60.00
_space_group_name_H-M_alt 'P 1'
_space_group_IT_number 1
loop_
_space_group_symop_operation_xyz
'x,y,z'
loop_
_atom_site_label
_atom_site_fract_x
_atom_site_fract_y
_atom_site_fract_z
As1 0.000 0.000 0.000
Ru1 0.750 0.750 0.750
Sb1 0.500 0.500 0.500
Ru2 0.250 0.250 0.250


14.
# SbAs4Ru PBE relaxed
# Symmetry: No. 216
data_SbAs4Ru
_chemical_formula_sum 'Sb1 As4 Ru1'
_cell_length_a 5.541
_cell_length_b 5.541
_cell_length_c 5.541
_cell_angle_alpha 60.00
_cell_angle_beta 60.00
_cell_angle_gamma 60.00
_space_group_name_H-M_alt 'P 1'
_space_group_IT_number 1
loop_
_space_group_symop_operation_xyz
'x,y,z'
loop_
_atom_site_label
_atom_site_fract_x
_atom_site_fract_y
_atom_site_fract_z
As1 0.376 0.376 0.872
Ru1 0.750 0.750 0.750
As2 0.376 0.376 0.376
As3 0.376 0.872 0.376
Sb1 0.000 0.000 0.000
As4 0.872 0.376 0.376


15.
# SbAs2Ru PBE relaxed
# Symmetry: No. 166
data_SbAs2Ru
_chemical_formula_sum 'Sb1 As2 Ru1'
_cell_length_a 8.929
_cell_length_b 8.929
_cell_length_c 8.929
_cell_angle_alpha 20.75
_cell_angle_beta 20.75
_cell_angle_gamma 20.75
_space_group_name_H-M_alt 'P 1'
_space_group_IT_number 1
loop_
_space_group_symop_operation_xyz
'x,y,z'
loop_
_atom_site_label
_atom_site_fract_x
_atom_site_fract_y
_atom_site_fract_z
As1 0.983 0.983 0.983
Ru1 0.250 0.250 0.250
As2 0.517 0.517 0.517
Sb1 0.750 0.750 0.750


Across the entries above, volume takes the values 74.8, 64.6, 80.9, 58.3, 90.9, 79.4, 59.2, 59.0, 56.4, 90.7, 91.9, 66.2, 64.8, 120.3, 78.2 Å³/f.u., respectively.
Across the entries above, uncorrected formation energy takes the values 0.457, 0.106, 0.221, -0.313, 0.275, 0.011, -0.046, 0.013, 0.229, 0.028, 0.110, 0.074, 0.098, 0.780, 0.065 eV per atom, respectively.